(1)
Re4B2Mo: relaxed, PBE.

- V (Å³/f.u.) = 89
- crystal system = monoclinic
- M_tot (μB per formula unit) = 0.00
- E_tot (eV/cell) = -147.7
- formation energy from the elements (eV per formula unit) = 0.1

```
data_Re4B2Mo
_cell_length_a 6.182
_cell_length_b 4.949
_cell_length_c 6.301
_cell_angle_alpha 90.00
_cell_angle_beta 112.01
_cell_angle_gamma 90.00
_space_group_name_H-M_alt 'P 1 21/m 1'
_space_group_IT_number 11
_space_group_name_Hall '-P 2yb'
loop_
_atom_site_label
_atom_site_fract_x
_atom_site_fract_y
_atom_site_fract_z
_atom_site_occupancy
Re1 0.109 0.250 0.484 1
Re2 0.164 0.750 0.253 1
Re3 0.261 0.506 0.903 1
B1 0.088 0.250 0.120 1
B2 0.479 0.250 0.743 1
Mo1 0.487 0.250 0.347 1
```


(2)
In5AgHg5: relaxed, PBE.

- V (Å³/f.u.) = 293
- crystal system = triclinic
- M_tot (μB per formula unit) = 0.00
- E_tot (eV/cell) = -17.6
- formation energy from the elements (eV per formula unit) = 0.4

```
data_In5AgHg5
_cell_length_a 6.146
_cell_length_b 6.516
_cell_length_c 7.613
_cell_angle_alpha 74.91
_cell_angle_beta 84.91
_cell_angle_gamma 84.86
_space_group_name_H-M_alt 'P -1'
_space_group_IT_number 2
_space_group_name_Hall '-P 1'
loop_
_atom_site_label
_atom_site_fract_x
_atom_site_fract_y
_atom_site_fract_z
_atom_site_occupancy
In1 0.000 0.000 0.000 1
In2 0.262 0.651 0.317 1
In3 0.344 0.135 0.331 1
Ag1 0.500 0.000 0.000 1
Hg1 0.144 0.760 0.704 1
Hg2 0.240 0.291 0.682 1
Hg3 0.500 0.500 0.000 1
```